[1]
## Ac3Cu2SiPd9 (PBE-GGA)

Data for crystalline Ac3Cu2SiPd9 at its relaxed geometry.

The structure in extended XYZ format:
```
15
Lattice="-5.4907 -0.8941 2.1859 2.6615 -4.2662 -3.2313 4.1174 -4.0197 8.6984" Properties=species:S:1:pos:R:3 pbc="T T T"
Si 2.0587 -2.0099 4.3492
Pd -0.2041 -6.0093 5.2012
Pd -2.7454 -0.4470 1.0929
Pd -1.4146 -2.5801 -0.5227
Pd -1.4388 -4.0302 6.7002
Pd 1.1083 -3.6154 5.6862
Pd 1.4923 -3.1707 2.4517
Pd 2.7270 -5.1498 0.9527
Pd 0.1799 -5.5645 1.9668
Pd 1.3308 -2.1331 -1.6157
Cu 0.6727 -3.8535 0.1136
Cu 0.6155 -5.3265 7.5393
Ac 2.8917 -6.0198 4.8014
Ac 0.0000 0.0000 0.0000
Ac -1.6035 -3.1602 2.8515
```

Calculated values
Uncorrected formation energy = -0.567 eV/atom
Crystal system = trigonal
Electronic total energy = -81.18 eV/f.u.

***

[2]
## Y2AgHgH (PBE-GGA)

Data for crystalline Y2AgHgH at its relaxed geometry.

The structure in extended XYZ format:
```
5
Lattice="-4.1515 1.6717 2.1816 -1.9098 -4.5967 -0.1118 1.6113 -0.7581 3.6471" Properties=species:S:1:pos:R:3 pbc="T T T"
Y -2.0758 0.8359 1.0908
Y -0.9549 -2.2984 -0.0559
Hg -2.2250 -1.8416 2.8585
Ag 0.8056 -0.3791 1.8236
H 0.0000 0.0000 0.0000
```

Calculated values
Crystal system = tetragonal
Electronic total energy = -21.26 eV/f.u.

***

[3]
## LiAg2GeTe4 (PBE-GGA)

Data for crystalline LiAg2GeTe4 at its relaxed geometry.

The structure in extended XYZ format:
```
16
Lattice="-7.0916 -3.8243 -1.9254 0.6265 -4.5385 6.9016 0.3066 8.3266 0.4056" Properties=species:S:1:pos:R:3 pbc="T T T"
Ag -3.5458 -1.9122 -0.9627
Ag -3.2326 -4.1814 2.4881
Ag -6.9383 0.3390 -1.7226
Ag -3.3925 2.2511 -0.7599
Li 0.3132 -2.2692 3.4508
Li 0.4665 1.8941 3.6536
Te -4.9535 0.1607 0.4610
Te -4.7679 -2.0948 3.8520
Te -1.3906 2.0586 1.5298
Te -4.8250 4.3263 0.6354
Te -4.6154 2.0539 4.0544
Te -1.3336 -4.3625 4.7465
Te -1.2050 -0.1969 4.9209
Te -1.5431 -2.0902 1.3275
Ge -3.0792 -0.0181 2.6909
Ge 0.0000 0.0000 0.0000
```

Calculated values
Uncorrected formation energy = -0.155 eV/atom
Crystal system = orthorhombic
Electronic total energy = -26.04 eV/f.u.

***

[4]
## RbScGe2Br8 (PBE-GGA)

Data for crystalline RbScGe2Br8 at its relaxed geometry.

The structure in extended XYZ format:
```
12
Lattice="6.9991 2.0681 0.0804 1.7012 7.0841 0.0623 -0.0919 -0.0674 9.1578" Properties=species:S:1:pos:R:3 pbc="T T T"
Br 5.5558 3.6967 7.6830
Br 7.8283 7.0674 7.7376
Br 2.8374 3.0208 5.2149
Br 3.7628 7.3535 7.6779
Br 4.8456 1.7313 1.6227
Br 0.7800 2.0175 1.5629
Br 3.0526 5.3881 1.6175
Br 5.7710 6.0641 4.0856
Sc 0.0000 0.0000 0.0000
Ge 5.7923 6.0938 1.6501
Ge 2.8161 2.9911 7.6504
Rb -0.0459 -0.0337 4.5789
```

Calculated values
Uncorrected formation energy = -1.125 eV/atom
Crystal system = triclinic
Electronic total energy = -43.42 eV/f.u.

***

[5]
## CaCrRe2 (PBE-GGA)

Data for crystalline CaCrRe2 at its relaxed geometry.

The structure in extended XYZ format:
```
4
Lattice="4.5181 0.0000 0.0000 0.0000 2.6730 -0.0033 0.0000 0.7790 5.2964" Properties=species:S:1:pos:R:3 pbc="T T T"
Cr 2.2591 2.5890 3.9699
Re 0.0000 1.8165 2.7216
Re 0.0000 3.3615 5.2181
Ca 2.2591 0.8630 1.3233
```

Calculated values
Energy above the lowest structure with this stoichiometry = 0.203 eV/atom
Crystal system = monoclinic
Electronic total energy = -33.79 eV/f.u.
DFT formation energy = 682 meV per atom

***

[6]
## Tb2Ga3Ni12Ir (PBE-GGA)

Data for crystalline Tb2Ga3Ni12Ir at its relaxed geometry.

The structure in extended XYZ format:
```
18
Lattice="9.0839 1.8189 1.2901 6.0677 7.0006 1.2901 6.0677 3.5319 6.1805" Properties=species:S:1:pos:R:3 pbc="T T T"
Tb 7.4666 4.3462 3.0827
Tb 13.7526 8.0052 5.6780
Ir 0.0000 0.0000 0.0000
Ni 5.0384 4.8413 1.4116
Ni 8.8042 6.4861 4.6005
Ni 9.9879 4.4525 4.6005
Ni 16.1808 9.4186 4.6583
Ni 14.5213 10.3611 7.3490
Ni 9.9879 5.8138 2.6813
Ni 6.6979 1.9902 1.4116
Ni 11.2313 6.5375 6.0794
Ni 12.4150 5.8652 4.1602
Ni 11.2313 7.8989 4.1602
Ni 5.0384 2.9328 4.1024
Ni 16.1808 7.5100 7.3490
Ga 4.5419 0.9094 0.6451
Ga 3.0338 3.5003 0.6451
Ga 3.0338 1.7659 3.0902
```

Calculated values
Crystal system = trigonal
Electronic total energy = -96.55 eV/f.u.
DFT formation energy = 2 meV per atom

***

[7]
## Ca3Sb2H2 (PBE-GGA)

Data for crystalline Ca3Sb2H2 at its relaxed geometry.

The structure in extended XYZ format:
```
14
Lattice="7.7927 0.0000 -0.6398 0.0000 6.8254 0.0000 2.8432 0.0000 5.8351" Properties=species:S:1:pos:R:3 pbc="T T T"
H 2.3995 0.5768 3.6561
H 4.3400 3.9894 1.8591
H 6.2959 2.8359 3.3362
H 8.2363 6.2486 1.5392
Ca 6.5710 4.6498 1.9251
Ca 3.8963 3.4127 -0.3199
Ca 4.0648 2.1756 3.2702
Ca 0.0000 0.0000 0.0000
Ca 7.9612 1.2371 2.9503
Ca 2.6747 5.5883 2.2449
Sb 4.8902 0.4654 0.6432
Sb 9.6420 3.8781 4.2322
Sb 0.9939 2.9473 0.9630
Sb 5.7456 6.3600 4.5521
```

Calculated values
Crystal system = monoclinic
Electronic total energy = -26.11 eV/f.u.

***

[8]
## LaAlCd2 (PBE-GGA)

Data for crystalline LaAlCd2 at its relaxed geometry.

The structure in extended XYZ format:
```
8
Lattice="4.9645 0.0000 0.0000 -2.4823 5.6027 0.0000 0.0000 0.0000 7.0641" Properties=species:S:1:pos:R:3 pbc="T T T"
Cd 0.0000 0.5780 2.1144
Cd 0.0000 5.1858 3.5321
Cd 0.0000 0.5780 4.9497
Cd 2.4823 4.0243 0.0000
Al 0.0000 3.2065 1.3530
Al 0.0000 3.2065 5.7111
La 2.4823 0.7226 0.0000
La 2.4823 2.9896 3.5321
```

Calculated values
Crystal system = orthorhombic
Electronic total energy = -11.86 eV/f.u.
DFT formation energy = -339 meV per atom

***

[9]
## CaGa7Ni5 (PBE-GGA)

Data for crystalline CaGa7Ni5 at its relaxed geometry.

The structure in extended XYZ format:
```
13
Lattice="5.1143 0.0000 0.0000 2.5571 6.0559 -0.0785 2.5571 -0.0981 6.0556" Properties=species:S:1:pos:R:3 pbc="T T T"
Ga 5.1143 1.0529 4.7425
Ga 7.6714 2.1015 4.0501
Ga 5.1143 4.7391 1.0682
Ga 2.5571 1.3905 1.3950
Ga 5.1143 3.9253 3.9380
Ga 5.1143 2.0910 2.0977
Ga 7.6714 4.0433 2.1146
Ni 3.8151 -0.0012 2.9571
Ni 3.8151 2.9571 0.0084
Ni 7.6714 4.5511 4.5658
Ni 1.2992 -0.0012 2.9571
Ni 1.2992 2.9571 0.0084
Ca 5.1143 5.9402 5.9594
```

Calculated values
Crystal system = orthorhombic
Electronic total energy = -57.37 eV/f.u.
DFT formation energy = -406 meV per atom

***

[10]
## GaSiTe2 (PBE-GGA)

Data for crystalline GaSiTe2 at its relaxed geometry.

The structure in extended XYZ format:
```
4
Lattice="-3.1182 7.8523 -2.7848 -2.8077 8.3523 1.2213 0.4531 8.8115 -1.1350" Properties=species:S:1:pos:R:3 pbc="T T T"
Ga -2.7364 12.5081 -1.3493
Te -4.9080 22.4341 -2.4200
Te -0.5649 2.5821 -0.2785
Si 0.0000 0.0000 0.0000
```

Calculated values
Uncorrected formation energy = 0.412 eV/atom
Energy above the lowest structure with this stoichiometry = 0.262 eV/atom
Crystal system = trigonal
Electronic total energy = -13.09 eV/f.u.

***

[11]
## Dy5SeS5 (PBE-GGA)

Data for crystalline Dy5SeS5 at its relaxed geometry.

The structure in extended XYZ format:
```
11
Lattice="5.5579 0.0000 0.0000 -2.7790 5.8105 -2.1821 0.0000 0.3275 7.8643" Properties=species:S:1:pos:R:3 pbc="T T T"
S 0.0000 4.1055 3.7914
S 0.0000 3.8679 -0.1769
S 0.0000 0.1637 3.9321
S 2.7790 2.0325 1.8909
S 2.7790 2.2701 5.8591
Dy 0.0000 2.0665 1.9714
Dy 2.7790 4.0714 3.7108
Dy 0.0000 2.1644 5.7435
Dy 2.7790 3.9735 -0.0613
Dy 2.7790 0.0000 0.0000
Se 0.0000 0.0000 0.0000
```

Calculated values
Uncorrected formation energy = -2.009 eV/atom
Crystal system = monoclinic
Electronic total energy = -69.23 eV/f.u.

***

[12]
## LaCoMo (PBE-GGA)

Data for crystalline LaCoMo at its relaxed geometry.

The structure in extended XYZ format:
```
12
Lattice="-1.0801 -4.9589 1.3174 4.1035 -0.6508 0.9148 -1.7034 3.4458 10.0919" Properties=species:S:1:pos:R:3 pbc="T T T"
Mo -1.2666 -2.1686 4.1386
Mo -1.8478 1.1961 9.1392
Mo -0.0665 -0.7712 9.6419
Mo 1.0557 -0.8521 4.5507
La 1.2243 -3.2423 2.0941
La -0.3822 -0.1459 1.6106
La -1.6792 -1.1940 6.6826
La 0.8178 1.2516 7.1139
Co 0.3392 2.0478 9.8272
Co -2.4227 -1.3805 9.8852
Co -0.8608 0.6503 4.3238
Co 0.4807 -3.4288 5.2967
```

Calculated values
Energy above the lowest structure with this stoichiometry = 0.076 eV/atom
Crystal system = monoclinic
Electronic total energy = -22.37 eV/f.u.
DFT formation energy = 163 meV per atom

***

Q: The lowest electronic total energy belongs to which entry?
A: Tb2Ga3Ni12Ir